Entry from the Alexandria database: a geometry-optimized BaNd2Cd structure (PBE).

Cell and atoms, written as CIF:
```
data_BaNd2Cd
_chemical_formula_sum 'Ba1 Nd2 Cd1'
_symmetry_space_group_name_H-M 'P 4/m m m'
_symmetry_Int_Tables_number 123
_symmetry_space_group_name_Hall '-P 4 2'
_cell_length_a 3.925
_cell_length_b 3.925
_cell_length_c 9.691
_cell_angle_alpha 90.00
_cell_angle_beta 90.00
_cell_angle_gamma 90.00
loop_
_atom_site_label
_atom_site_type_symbol
_atom_site_fract_x
_atom_site_fract_y
_atom_site_fract_z
Ba1 Ba 0.000 0.000 0.000
Nd1 Nd 0.500 0.500 0.313
Cd1 Cd 0.000 0.000 0.500
```

Properties
**Density**: 5.99 g/cm3
**Magnetic moment**: 0.0 μB per formula unit
**DOS(E_F)**: 5.42 states/eV/cell
**DFT formation energy**: -0.973 kcal/mol of atoms
**Uncorrected energy**: -3.136 eV per atom